Compound: Ni2AsRh
Source: Alexandria via LeMat-Bulk
Functional: PBE
Structure: optimized geometry Values from VASP.

Structure (Quantum ESPRESSO input):
```
&SYSTEM
  ibrav = 0, nat = 8, ntyp = 3
/
ATOMIC_SPECIES
Rh 102.91 Rh.upf
As 74.92 As.upf
Ni 58.69 Ni.upf
ATOMIC_POSITIONS angstrom
Rh -3.9848 -3.9875 -1.7536
Rh 0.0000 0.0000 0.0000
As -1.8642 -5.3519 -1.6541
As -0.4750 -0.9066 -2.3068
Ni -2.6156 -1.8838 -1.4546
Ni -4.5218 -7.2087 -3.1106
Ni -0.5464 -3.2392 -1.4027
Ni -4.0142 -6.3471 -0.8475
CELL_PARAMETERS angstrom
-2.5957 0.4578 -2.4063
1.6456 -2.2710 -2.2072
-4.8990 -7.5262 1.2059
```

Computed properties:
total moment: 0.000 μB/cell
formation energy: 10.93 kJ/mol of atoms
E: -5.78 eV/atom
N(E_F): 8.4 states/eV/cell